No. 1
This record from the Open Quantum Materials Database describes NbInAu after structural relaxation. The functional is PBE.

Cell lengths 4.7266, 4.7266, 3.0817 Å; angles 90.00, 90.00, 120.00 degrees
Space group P-6m2 (No. 187)
Symmetry-distinct sites (fractional):
Nb  0.0000  0.0000  0.0000 x1
In  0.3333  0.6667  0.5000 x1
Au  0.6667  0.3333  0.0000 x1

Values from the calculation:
V = 19.88 Å³/atom
crystal system = hexagonal
energy = -5.139 eV/atom



No. 2
This record from the Open Quantum Materials Database describes YGaAgAu after structural relaxation. The functional is PBE.

Cell lengths 6.855, 6.855, 6.855 Å; angles 90.00, 90.00, 90.00 degrees
Space group F-43m (No. 216)
Symmetry-distinct sites (fractional):
Y  0.000  0.000  0.000 x4
Ga  0.250  0.250  0.750 x4
Ag  0.000  0.000  0.500 x4
Au  0.250  0.250  0.250 x4

Values from the calculation:
V = 20.13 Å³/atom
distance to the lowest polymorph of the same formula = 11 meV/atom
crystal system = cubic
energy = -4.391 eV/atom



No. 3
This record from the Open Quantum Materials Database describes BaSrSb2Au2 after structural relaxation. The functional is PBE.

Cell lengths 4.7972, 4.7972, 9.0808 Å; angles 90.00, 90.00, 120.00 degrees
Space group P3m1 (No. 156)
Symmetry-distinct sites (fractional):
Ba  0.0000  0.0000  0.0000 x1
Sr  0.0000  0.0000  0.4999 x1
Sb  0.3333  0.6667  0.7401 x1
Sb  0.6667  0.3333  0.2586 x1
Au  0.3333  0.6667  0.2683 x1
Au  0.6667  0.3333  0.7339 x1

Values from the calculation:
V = 30.16 Å³/atom
crystal system = trigonal
energy = -3.979 eV/atom



No. 4
This record from the Open Quantum Materials Database describes Tb3In3CuIrAu after structural relaxation. The functional is PBE.

Cell lengths 7.7295, 7.7295, 3.8481 Å; angles 90.00, 90.00, 120.00 degrees
Space group P-6 (No. 174)
Symmetry-distinct sites (fractional):
Tb  0.0872  0.7347  0.0000 x3
In  0.4166  0.0821  0.5000 x3
Cu  0.6667  0.3333  0.0000 x1
Ir  0.3333  0.6667  0.5000 x1
Au  0.0000  0.0000  0.5000 x1

Values from the calculation:
V = 22.12 Å³/atom
crystal system = hexagonal
energy = -4.890 eV/atom



No. 5
This record from the Open Quantum Materials Database describes Dy2Y2Br3NCl2 after structural relaxation. The functional is PBE.

Cell lengths 17.342, 3.709, 7.984 Å; angles 90.00, 103.10, 90.00 degrees
Space group C2/m (No. 12)
Symmetry-distinct sites (fractional):
Dy  0.000  0.000  0.200 x4
Y  0.139  0.500  0.073 x4
Br  0.000  0.500  0.500 x2
Br  0.171  0.000  0.818 x4
N  0.000  0.500  0.000 x2
Cl  0.159  0.000  0.330 x4

Values from the calculation:
V = 25.01 Å³/atom
crystal system = monoclinic
energy = -5.619 eV/atom